This record from Alexandria via LeMat-Bulk describes a geometry-optimized SrMoF3 structure. The functional is PBE with a Hubbard U.

DOS(E_F) in states/eV/atom: 0.000
E_tot in eV per formula unit: -25.6
Volume in Å³/cell: 105.8

a = 4.730 Å, b = 4.730 Å, c = 4.730 Å
α = 90.00°, β = 90.00°, γ = 90.00°
Space group Pm-3m (No. 221)
Asymmetric unit:
Sr (0.000, 0.000, 0.000) (multiplicity 1)
Mo (0.500, 0.500, 0.500) (multiplicity 1)
F (0.000, 0.000, 0.500) (multiplicity 3)